Entry 1:
ErRe2: relaxed, PBE.

Computed properties:
- formation energy from the elements (eV/atom) = -0.26
- total magnetization (μB/atom) = 0.0004

Structure (POSCAR):
```
ErRe2
1.0
-5.2426 1.2046 0.2682
1.5536 -5.0736 -0.9236
0.0868 -1.5468 8.6428
Re Er
8 4
Direct
0.1712 0.8288 0.2500
0.8288 0.1712 0.7500
0.0000 0.0000 0.5000
0.3425 0.1712 0.7500
0.0000 0.0000 0.0000
0.6575 0.8288 0.2500
0.1712 0.3425 0.2500
0.8288 0.6575 0.7500
0.3333 0.6667 0.5620
0.6667 0.3333 0.4380
0.3333 0.6667 0.9380
0.6667 0.3333 0.0620
```

Entry 2:
YAsOs: relaxed, PBE.

Computed properties:
- total magnetization (μB/atom) = 0.0012

Structure (POSCAR):
```
YAsOs
1.0
-0.4146 2.9262 3.5355
-4.1677 1.4940 1.2779
-1.8431 -1.4330 3.9729
Y Os As
1 1 1
Direct
0.2500 0.2500 0.2500
0.0000 0.0000 0.0000
0.5000 0.5000 0.5000
```

Entry 3:
TbHoBe: relaxed, PBE.

Computed properties:
- total magnetization (μB/atom) = 0.0005

Structure (POSCAR):
```
TbHoBe
1.0
0.0000 3.3486 3.3486
3.3486 0.0000 3.3486
3.3486 3.3486 0.0000
Tb Be Ho
1 1 1
Direct
0.7500 0.7500 0.7500
0.2500 0.2500 0.2500
0.0000 0.0000 0.0000
```

Entry 4:
LiAc2Ir2: relaxed, PBE.

Computed properties:
- total magnetization (μB/atom) = 0.0001

Structure (POSCAR):
```
LiAc2Ir2
1.0
0.9949 3.0761 5.0355
-2.7369 5.1920 1.1665
-5.5705 -5.7970 2.2027
Li Ac Ir
2 4 4
Direct
0.1130 0.8870 0.7500
0.8870 0.1130 0.2500
0.4910 0.8008 0.1474
0.8008 0.4910 0.6474
0.5090 0.1992 0.8526
0.1992 0.5090 0.3526
0.7140 0.0127 0.4866
0.2860 0.9873 0.5134
0.0127 0.7140 0.9866
0.9873 0.2860 0.0134
```

Entry 5:
NdGePt2: relaxed, PBE.

Computed properties:
- total magnetization (μB/atom) = 0.0009

Structure (POSCAR):
```
NdGePt2
1.0
-0.7457 3.7661 2.0059
-5.3333 -2.0174 1.8049
2.8561 -2.4632 5.6864
Ge Nd Pt
2 2 4
Direct
0.0000 0.8066 0.7763
0.0000 0.1934 0.2763
0.5000 0.2940 0.6666
0.5000 0.7060 0.1666
0.0000 0.5593 0.4547
0.5000 0.1821 0.1023
0.5000 0.8179 0.6023
0.0000 0.4407 0.9547
```

Entry 6:
PmTlCo: relaxed, PBE.

Computed properties:
- distance to the lowest polymorph of the same formula (eV per atom) = 0.0000
- total magnetization (μB/atom) = 0.0406

Structure (POSCAR):
```
PmTlCo
1.0
0.0000 3.2828 3.2828
3.2828 0.0000 3.2828
3.2828 3.2828 0.0000
Tl Pm Co
1 1 1
Direct
0.7500 0.7500 0.7500
0.2500 0.2500 0.2500
0.0000 0.0000 0.0000
```

Entry 7:
Cu3PSe4: relaxed, PBE.

Structure (POSCAR):
```
Cu3PSe4
1.0
5.5146 0.0000 0.0000
0.0000 5.5146 0.0000
0.0000 0.0000 5.5146
Se P Cu
4 1 3
Direct
0.7533 0.2467 0.7533
0.2467 0.2467 0.2467
0.7533 0.7533 0.2467
0.2467 0.7533 0.7533
0.0000 0.0000 0.0000
0.5000 0.0000 0.5000
0.5000 0.5000 0.0000
0.0000 0.5000 0.5000
```

Entry 8:
Na2HfS2O: relaxed, PBE.

Computed properties:
- total magnetization (μB/atom) = 0.0002

Structure (POSCAR):
```
Na2HfS2O
1.0
0.0778 5.9433 -2.0612
-3.9349 -4.0053 -2.8375
-3.4961 0.9735 5.5956
S Na Hf O
4 4 2 2
Direct
0.4301 0.0688 0.7708
0.0688 0.4301 0.7708
0.9312 0.5699 0.2292
0.5699 0.9312 0.2292
0.5000 0.5000 0.0000
0.3432 0.6568 0.5000
0.0000 0.0000 0.5000
0.6568 0.3432 0.5000
0.8548 0.1452 0.0000
0.1452 0.8548 0.0000
0.8419 0.8419 0.8278
0.1581 0.1581 0.1722
```

Entry 9:
NbInNO: relaxed, PBE.

Computed properties:
- distance to the lowest polymorph of the same formula (eV per atom) = 0.0262
- total magnetization (μB/atom) = 0.0004

Structure (POSCAR):
```
NbInNO
1.0
-1.7997 -3.1172 0.0000
0.0000 0.0000 5.9734
-6.0368 3.4854 0.0000
O In N Nb
2 2 2 2
Direct
0.5000 0.9611 0.7577
0.5000 0.4611 0.2423
0.5000 0.4893 0.8604
0.5000 0.9893 0.1396
0.0000 0.3073 0.5714
0.0000 0.8073 0.4286
0.0000 0.4964 0.3528
0.0000 0.9964 0.6472
```

Entry 10:
ZnBMo2: relaxed, PBE.

Computed properties:
- distance to the lowest polymorph of the same formula (eV per atom) = 0.7651
- total magnetization (μB/atom) = 0.0013

Structure (POSCAR):
```
ZnBMo2
1.0
0.0000 2.9884 2.9884
2.9884 0.0000 2.9884
2.9884 2.9884 0.0000
Mo B Zn
2 1 1
Direct
0.0000 0.0000 0.0000
0.7500 0.7500 0.7500
0.5000 0.5000 0.5000
0.2500 0.2500 0.2500
```

Entry 11:
LuCoOs: relaxed, PBE.

Computed properties:
- formation energy from the elements (eV/atom) = 0.47
- distance to the lowest polymorph of the same formula (eV per atom) = 0.0000
- total magnetization (μB/atom) = 0.8481

Structure (POSCAR):
```
LuCoOs
1.0
1.1368 1.7442 3.8149
-2.8582 2.3948 2.2323
-1.7110 -1.5363 3.6878
Lu Co Os
1 1 1
Direct
0.7500 0.7500 0.7500
0.2500 0.2500 0.2500
0.0000 0.0000 0.0000
```

Entry 12:
NpOsPb: relaxed, PBE.

Computed properties:
- total magnetization (μB/atom) = 1.1949

Structure (POSCAR):
```
NpOsPb
1.0
-4.5314 -1.0297 0.1532
-2.9848 2.9388 2.0177
-3.0180 2.3977 -2.5999
Pb Np Os
1 1 1
Direct
0.7500 0.7500 0.7500
0.2500 0.2500 0.2500
0.0000 0.0000 0.0000
```

Entry 13:
LuSiIr: relaxed, PBE.

Computed properties:
- total magnetization (μB/atom) = 0.0018

Structure (POSCAR):
```
LuSiIr
1.0
-2.4383 -2.3479 2.8049
-4.2669 -0.6661 -0.8218
-1.4206 -4.0012 -1.1393
Lu Ir Si
1 1 1
Direct
0.2500 0.2500 0.2500
0.0000 0.0000 0.0000
0.7500 0.7500 0.7500
```

Entry 14:
AlAsIrO: relaxed, PBE.

Computed properties:
- distance to the lowest polymorph of the same formula (eV per atom) = 0.0978
- total magnetization (μB/atom) = 0.0028

Structure (POSCAR):
```
AlAsIrO
1.0
-0.4669 -0.6008 -3.7207
3.3153 -1.8487 -0.1176
-4.0167 -7.3103 1.6845
O Al As Ir
2 2 2 2
Direct
0.0000 0.0000 0.0000
0.5000 0.5000 0.0000
0.5000 0.0000 0.9260
0.0000 0.5000 0.0740
0.0000 0.5000 0.6857
0.5000 0.0000 0.3143
0.0000 0.0000 0.5000
0.5000 0.5000 0.5000
```

Entry 15:
Pr3AsSe2: relaxed, PBE.

Computed properties:
- distance to the lowest polymorph of the same formula (eV per atom) = 0.0106
- total magnetization (μB/atom) = 0.0006

Structure (POSCAR):
```
Pr3AsSe2
1.0
-2.1574 -0.1444 3.6911
-0.4709 -3.1310 -2.8766
7.9149 -5.2518 4.4208
Pr Se As
3 2 1
Direct
0.3333 0.6667 0.3388
0.6667 0.3333 0.6612
0.0000 0.0000 0.0000
0.3333 0.6667 0.8345
0.6667 0.3333 0.1655
0.0000 0.0000 0.5000
```

Entry 16:
SrHoAgSe2S: relaxed, PBE.

Computed properties:
- total magnetization (μB/atom) = 0.0006

Structure (POSCAR):
```
SrHoAgSe2S
1.0
0.2644 7.1167 -0.8287
-3.7995 -5.5915 2.3881
4.5134 0.9190 9.3326
Se Ho Ag Sr S
4 2 2 2 2
Direct
0.8566 0.1434 0.9483
0.1434 0.8566 0.4483
0.8566 0.1434 0.5517
0.1434 0.8566 0.0517
0.5000 0.5000 0.5000
0.5000 0.5000 0.0000
0.9735 0.0265 0.7500
0.0265 0.9735 0.2500
0.2419 0.7581 0.7500
0.7581 0.2419 0.2500
0.5821 0.4179 0.7500
0.4179 0.5821 0.2500
```

Entry 17:
SmHoH4: relaxed, PBE.

Computed properties:
- total magnetization (μB/atom) = 0.0002

Structure (POSCAR):
```
SmHoH4
1.0
3.6964 0.0000 0.0000
0.0000 3.6964 0.0000
0.0000 0.0000 5.2340
H Sm Ho
4 1 1
Direct
0.5000 0.0000 0.2625
0.5000 0.0000 0.7375
0.0000 0.5000 0.2625
0.0000 0.5000 0.7375
0.0000 0.0000 0.0000
0.5000 0.5000 0.5000
```

Entry 18:
BaTbGe: relaxed, PBE.

Computed properties:
- total magnetization (μB/atom) = 0.0460

Structure (POSCAR):
```
BaTbGe
1.0
0.0000 3.7405 3.7405
3.7405 0.0000 3.7405
3.7405 3.7405 0.0000
Ba Tb Ge
1 1 1
Direct
0.2500 0.2500 0.2500
0.7500 0.7500 0.7500
0.0000 0.0000 0.0000
```

Entry 19:
MgNbTlOs: relaxed, PBE.

Computed properties:
- distance to the lowest polymorph of the same formula (eV per atom) = 0.0000
- total magnetization (μB/atom) = 0.0001

Structure (POSCAR):
```
MgNbTlOs
1.0
0.0000 3.2739 3.2739
3.2739 0.0000 3.2739
3.2739 3.2739 0.0000
Mg Os Tl Nb
1 1 1 1
Direct
0.7500 0.7500 0.7500
0.2500 0.2500 0.2500
0.5000 0.5000 0.5000
0.0000 0.0000 0.0000
```

Entry 20:
TbY2Ge7: relaxed, PBE.

Computed properties:
- total magnetization (μB/atom) = 0.0010

Structure (POSCAR):
```
TbY2Ge7
1.0
8.8077 4.7934 -7.9043
-11.2273 -3.1150 5.2226
0.0340 3.5206 2.1729
Ge Tb Y
7 1 2
Direct
0.5948 0.4052 0.0000
0.5000 0.5000 0.5000
0.9069 0.0931 0.5000
0.0931 0.9069 0.5000
0.2167 0.7833 0.0000
0.4052 0.5948 0.0000
0.7833 0.2167 0.0000
0.0000 0.0000 0.0000
0.3143 0.6857 0.5000
0.6857 0.3143 0.5000
```

no.,final energy (eV/cell),V (Å³ per cell)
1,-120.7,220.6
2,-20.5,69.2
3,-10.1,75.1
4,-60.5,242.2
5,-49.2,176.8
6,-14.1,70.8
7,-31.5,167.7
8,-73.6,225.0
9,-59.2,149.9
10,-26.9,53.4
11,-21.4,58.0
12,-26.5,71.1
13,-20.8,60.1
14,-51.7,122.7
15,-36.6,166.0
16,-58.9,296.7
17,-26.8,71.5
18,-12.0,104.7
19,-24.3,70.2
20,-55.3,207.8